[1]
10
Lattice="7.9919 0.0000 0.0000 0.0000 7.9919 0.0000 0.0000 0.0000 3.5139" Properties=species:S:1:pos:R:3 comment="ZrTa2Pb2 (GGA-PBE, relaxed)" magmom_total_mub_per_fu=0.0 de_polymorph_mev_per_atom=0.0 dft_energy_ry_per_atom=-0.54270 mass_density_g_cm3=12.84 formation_energy_ev_per_atom=0.55 pbc="T T T"
Pb 1.3874 5.3834 1.7570
Pb 5.3834 6.6044 1.7570
Pb 6.6044 2.6085 1.7570
Pb 2.6085 1.3874 1.7570
Zr 0.0000 0.0000 0.0000
Zr 3.9959 3.9959 0.0000
Ta 3.0217 7.0177 0.0000
Ta 7.0177 4.9701 0.0000
Ta 4.9701 0.9742 0.0000
Ta 0.9742 3.0217 0.0000

[2]
8
Lattice="7.9775 0.0000 0.0000 0.0000 7.9775 0.0000 3.9887 3.9887 2.9590" Properties=species:S:1:pos:R:3 comment="Zr2TaPb (GGA-PBE, relaxed)" magmom_total_mub_per_fu=0.0 dft_energy_ry_per_atom=-0.55848 mass_density_g_cm3=10.06 formation_energy_ev_per_atom=0.57 pbc="T T T"
Pb 0.0000 0.0000 0.0000
Pb 7.9775 3.9887 1.4795
Zr 5.8590 1.9944 0.7398
Zr 2.1185 5.9831 0.7398
Zr 5.9831 6.1072 2.2193
Zr 9.9719 9.8478 2.2193
Ta 3.9887 3.9887 0.0000
Ta 3.9887 7.9775 1.4795

[3]
4
Lattice="5.0743 0.0000 0.0000 0.0000 3.0782 -0.0167 0.0000 0.4741 5.4078" Properties=species:S:1:pos:R:3 comment="ZrTa2Pb (GGA-PBE, relaxed)" magmom_total_mub_per_fu=0.0 dft_energy_ry_per_atom=-0.64336 mass_density_g_cm3=12.97 formation_energy_ev_per_atom=0.24 pbc="T T T"
Pb 2.5372 2.6642 4.0434
Ta 0.0000 3.0204 0.1320
Ta 0.0000 1.8339 2.5469
Zr 2.5372 0.8881 1.3478

[4]
5
Lattice="-2.7561 -2.5225 -3.5457 4.3335 -1.2107 -2.5072 0.3944 -4.3247 2.7700" Properties=species:S:1:pos:R:3 comment="Zr3TaPb (GGA-PBE, relaxed)" magmom_total_mub_per_fu=0.0 de_polymorph_mev_per_atom=0.0 dft_energy_ry_per_atom=-0.54735 mass_density_g_cm3=8.04 formation_energy_ev_per_atom=0.79 pbc="T T T"
Pb 0.9859 -4.0289 -1.6415
Zr 2.1668 -0.6053 -1.2536
Zr 0.1972 -2.1623 1.3850
Zr -1.3781 -1.2612 -1.7729
Ta 0.0000 0.0000 0.0000

[5]
4
Lattice="5.5296 0.0128 -0.0331 4.6161 3.0444 -0.0331 1.0241 0.3086 5.2878" Properties=species:S:1:pos:R:3 comment="Zr2TaPb (GGA-PBE, relaxed)" magmom_total_mub_per_fu=0.0 dft_energy_ry_per_atom=-0.59238 mass_density_g_cm3=10.67 formation_energy_ev_per_atom=0.10 pbc="T T T"
Pb 5.4755 1.6500 2.5633
Ta 8.4339 2.5414 3.9872
Zr 1.1371 0.3427 5.1646
Zr 2.7324 0.8234 1.4050

[6]
4
Lattice="5.3911 -0.0014 -0.0056 4.4831 2.9942 -0.0056 0.8708 0.2639 5.1646" Properties=species:S:1:pos:R:3 comment="ZrTa2Pb (GGA-PBE, relaxed)" magmom_total_mub_per_fu=0.0 dft_energy_ry_per_atom=-0.64122 mass_density_g_cm3=13.14 formation_energy_ev_per_atom=0.27 pbc="T T T"
Pb 2.6862 0.8142 1.2883
Ta 10.7011 3.2434 5.1436
Ta 5.4163 1.6416 2.5864
Zr 8.0587 2.4425 3.8650

[7]
5
Lattice="5.4544 0.0000 0.0000 0.0000 5.4544 0.0000 0.0000 0.0000 5.4544" Properties=species:S:1:pos:R:3 comment="ZrTaPb3 (GGA-PBE, relaxed)" magmom_total_mub_per_fu=2.4 de_polymorph_mev_per_atom=0.0 dft_energy_ry_per_atom=-0.38945 mass_density_g_cm3=9.15 formation_energy_ev_per_atom=1.01 pbc="T T T"
Pb 0.0000 2.7272 0.0000
Pb 0.0000 0.0000 2.7272
Pb 2.7272 0.0000 0.0000
Zr 2.7272 2.7272 2.7272
Ta 0.0000 0.0000 0.0000

[8]
4
Lattice="-1.7942 -10.7195 -3.0662 1.4504 -10.8266 -2.8649 -0.3602 -11.2853 -0.2021" Properties=species:S:1:pos:R:3 comment="ZrTaPb2 (GGA-PBE, relaxed)" magmom_total_mub_per_fu=0.0 de_polymorph_mev_per_atom=82.4 dft_energy_ry_per_atom=-0.49107 mass_density_g_cm3=11.17 formation_energy_ev_per_atom=0.27 pbc="T T T"
Pb -0.0059 -0.2753 -0.0514
Pb -0.1679 -7.8307 -1.4629
Ta -0.3484 -16.2482 -3.0354
Zr -0.5337 -24.8927 -4.6503

[9]
4
Lattice="-2.6298 1.4409 -2.3839 2.2491 -0.8380 -2.9876 -2.7290 -5.7235 -0.4490" Properties=species:S:1:pos:R:3 comment="ZrTaPb2 (GGA-PBE, relaxed)" magmom_total_mub_per_fu=0.0 de_polymorph_mev_per_atom=32.6 dft_energy_ry_per_atom=-0.49472 mass_density_g_cm3=12.22 formation_energy_ev_per_atom=0.22 pbc="T T T"
Pb -2.6821 -5.6251 -0.4412
Pb -0.9264 -1.2424 -2.8069
Ta -1.3943 -2.9243 -0.2294
Zr -2.2004 -3.9142 -3.0164

[10]
4
Lattice="10.0431 -0.0020 -0.0012 9.5132 3.2191 -0.0012 9.5132 1.5650 2.8131" Properties=species:S:1:pos:R:3 comment="Zr2TaPb (GGA-PBE, relaxed)" magmom_total_mub_per_fu=0.0 dft_energy_ry_per_atom=-0.59206 mass_density_g_cm3=10.41 formation_energy_ev_per_atom=0.11 pbc="T T T"
Pb 7.2674 1.1955 0.7027
Ta 21.8022 3.5866 2.1081
Zr 0.1274 0.0210 0.0123
Zr 14.4075 2.3701 1.3931

[11]
5
Lattice="-0.5781 4.7138 -1.5001 -3.3002 0.7576 3.6523 3.6850 1.4179 3.0356" Properties=species:S:1:pos:R:3 comment="ZrTa3Pb (GGA-PBE, relaxed)" magmom_total_mub_per_fu=0.0 de_polymorph_mev_per_atom=0.0 dft_energy_ry_per_atom=-0.57130 mass_density_g_cm3=11.31 formation_energy_ev_per_atom=1.79 pbc="T T T"
Pb -0.0966 3.4447 2.5939
Zr 0.0000 0.0000 0.0000
Ta -1.6501 0.3788 1.8262
Ta 1.8425 0.7090 1.5178
Ta -0.2890 2.3569 -0.7500

[12]
4
Lattice="-0.3034 1.9438 -2.3843 2.1201 -1.6039 -1.5774 -8.0489 -6.4637 -4.2455" Properties=species:S:1:pos:R:3 comment="ZrTaPb2 (GGA-PBE, relaxed)" magmom_total_mub_per_fu=0.0 de_polymorph_mev_per_atom=0.9 dft_energy_ry_per_atom=-0.49706 mass_density_g_cm3=10.69 formation_energy_ev_per_atom=0.19 pbc="T T T"
Pb -7.6801 -6.1675 -4.0510
Pb -1.5398 -1.7960 -3.2722
Ta -4.2194 -3.3884 -2.2256
Zr -4.8663 -4.4673 -5.0267

[13]
4
Lattice="3.2053 0.0000 0.0000 0.0000 3.6705 0.0000 0.0000 0.0000 7.7085" Properties=species:S:1:pos:R:3 comment="ZrTaPb2 (GGA-PBE, relaxed)" magmom_total_mub_per_fu=0.0 de_polymorph_mev_per_atom=162.1 dft_energy_ry_per_atom=-0.48520 mass_density_g_cm3=12.57 formation_energy_ev_per_atom=0.35 pbc="T T T"
Pb 0.0000 0.0000 0.0853
Pb 0.0000 0.0000 3.7690
Ta 1.6026 1.8353 1.9271
Zr 1.6026 1.8353 5.7814

[14]
4
Lattice="3.7579 0.0000 0.0000 0.0000 5.2168 0.0000 0.0000 0.0000 4.6981" Properties=species:S:1:pos:R:3 comment="ZrTaPb2 (GGA-PBE, relaxed)" magmom_total_mub_per_fu=0.0 de_polymorph_mev_per_atom=107.1 dft_energy_ry_per_atom=-0.48925 mass_density_g_cm3=12.38 formation_energy_ev_per_atom=0.30 pbc="T T T"
Pb 0.0000 0.0000 0.0000
Pb 1.8790 2.6084 0.0000
Ta 1.8790 0.0000 2.3491
Zr 0.0000 2.6084 2.3491

[15]
4
Lattice="-0.7301 3.0807 -4.2183 1.4935 1.0852 -4.9406 -3.6566 -3.1457 -2.5668" Properties=species:S:1:pos:R:3 comment="ZrTa2Pb (GGA-PBE, relaxed)" magmom_total_mub_per_fu=0.0 dft_energy_ry_per_atom=-0.63863 mass_density_g_cm3=13.06 formation_energy_ev_per_atom=0.30 pbc="T T T"
Pb -0.7221 0.2699 -2.9685
Ta -2.8416 1.0592 -11.6744
Ta -2.2173 0.7069 -8.7791
Zr -1.4522 0.5146 -5.8922

[16]
4
Lattice="-1.4137 -4.1529 -2.6906 -0.5671 -4.5320 2.3714 -4.6984 -2.0013 0.6360" Properties=species:S:1:pos:R:3 comment="ZrTaPb2 (GGA-PBE, relaxed)" magmom_total_mub_per_fu=0.0 de_polymorph_mev_per_atom=413.0 dft_energy_ry_per_atom=-0.46677 mass_density_g_cm3=11.83 formation_energy_ev_per_atom=0.60 pbc="T T T"
Pb 0.0000 0.0000 0.0000
Pb -1.6698 -2.6716 0.0792
Ta -3.3396 -5.3431 0.1584
Zr -5.0094 -8.0147 0.2376

[17]
4
Lattice="3.0951 -0.0040 0.0000 -1.0202 2.9221 0.0000 0.0000 0.0000 9.3965" Properties=species:S:1:pos:R:3 comment="ZrTa2Pb (GGA-PBE, relaxed)" magmom_total_mub_per_fu=0.0 dft_energy_ry_per_atom=-0.64791 mass_density_g_cm3=12.91 formation_energy_ev_per_atom=0.18 pbc="T T T"
Pb 1.0374 1.4590 7.1337
Ta 0.0000 0.0000 0.1565
Ta 1.0374 1.4590 2.2528
Zr 0.0000 0.0000 4.5519

[18]
5
Lattice="4.1502 0.0000 0.0000 0.0000 4.1502 0.0000 2.0751 2.0751 7.1650" Properties=species:S:1:pos:R:3 comment="ZrTa2Pb2 (GGA-PBE, relaxed)" magmom_total_mub_per_fu=0.0 de_polymorph_mev_per_atom=261.7 dft_energy_ry_per_atom=-0.52347 mass_density_g_cm3=11.67 formation_energy_ev_per_atom=0.81 pbc="T T T"
Pb 4.1502 2.0751 3.5825
Pb 2.0751 4.1502 3.5825
Zr 0.0000 0.0000 0.0000
Ta 2.0751 2.0751 1.2734
Ta 4.1502 4.1502 5.8916

[19]
4
Lattice="-4.2074 -0.0233 2.5380 -1.4791 -2.5151 -3.9536 1.0311 -3.2466 1.6796" Properties=species:S:1:pos:R:3 comment="ZrTaPb2 (GGA-PBE, relaxed)" magmom_total_mub_per_fu=0.0 de_polymorph_mev_per_atom=174.5 dft_energy_ry_per_atom=-0.48429 mass_density_g_cm3=12.59 formation_energy_ev_per_atom=0.37 pbc="T T T"
Pb 0.0000 0.0000 0.0000
Pb -2.8433 -1.2692 -0.7078
Ta -1.5882 -1.6349 2.1088
Zr -0.2240 -2.8808 -1.1370

[20]
4
Lattice="3.1351 -0.0120 0.0000 -0.8918 3.0056 0.0000 0.0000 0.0000 9.5410" Properties=species:S:1:pos:R:3 comment="Zr2TaPb (GGA-PBE, relaxed)" magmom_total_mub_per_fu=0.0 dft_energy_ry_per_atom=-0.58608 mass_density_g_cm3=10.55 formation_energy_ev_per_atom=0.19 pbc="T T T"
Pb 0.0000 0.0000 4.8638
Ta 1.1216 1.4968 7.1947
Zr 0.0000 0.0000 9.4558
Zr 1.1216 1.4968 2.3381

[21]
4
Lattice="3.6404 0.0000 0.0000 0.0000 3.6404 0.0000 0.0000 0.0000 6.6156" Properties=species:S:1:pos:R:3 comment="Zr2TaPb (GGA-PBE, relaxed)" magmom_total_mub_per_fu=0.0 dft_energy_ry_per_atom=-0.60483 mass_density_g_cm3=10.81 formation_energy_ev_per_atom=-0.06 pbc="T T T"
Pb 1.8202 1.8202 1.6539
Ta 1.8202 1.8202 4.9617
Zr 0.0000 0.0000 6.5270
Zr 0.0000 0.0000 3.3964

[22]
4
Lattice="5.2349 -0.0005 0.0000 1.4759 5.0226 0.0000 -3.3554 -2.5110 3.1369" Properties=species:S:1:pos:R:3 comment="ZrTa2Pb (GGA-PBE, relaxed)" magmom_total_mub_per_fu=0.0 dft_energy_ry_per_atom=-0.64161 mass_density_g_cm3=13.29 formation_energy_ev_per_atom=0.26 pbc="T T T"
Pb 2.6174 -0.0002 1.5685
Ta 0.0000 0.0000 0.0000
Ta 0.7379 2.5113 1.5685
Zr 3.3554 2.5110 0.0000

[23]
4
Lattice="-4.1674 -0.0622 2.1562 -0.3157 -3.0060 -0.6970 2.4476 -2.8980 4.6471" Properties=species:S:1:pos:R:3 comment="ZrTa2Pb (GGA-PBE, relaxed)" magmom_total_mub_per_fu=0.0 dft_energy_ry_per_atom=-0.64452 mass_density_g_cm3=12.98 formation_energy_ev_per_atom=0.22 pbc="T T T"
Pb -0.4840 -4.6037 4.0379
Ta 0.0646 -0.1217 0.1214
Ta -1.5643 -1.3521 2.0439
Zr 1.0142 -2.8408 1.8782

[24]
8
Lattice="-1.4972 2.0156 7.5205 3.1352 -6.8539 2.4611 3.4189 -1.1648 5.1722" Properties=species:S:1:pos:R:3 comment="ZrTa2Pb (GGA-PBE, relaxed)" magmom_total_mub_per_fu=0.0 dft_energy_ry_per_atom=-0.59433 mass_density_g_cm3=12.06 formation_energy_ev_per_atom=0.90 pbc="T T T"
Pb 0.0000 0.0000 0.0000
Pb 1.3704 -0.7841 8.8418
Zr 0.8190 -2.4192 4.9908
Zr 3.6866 -5.2189 6.3121
Ta 0.2981 0.1291 6.3653
Ta 2.6399 -4.3402 3.7070
Ta 3.1516 -2.6293 7.6012
Ta 4.0243 -5.1657 12.6341

[25]
5
Lattice="5.2732 0.0000 0.0000 0.0000 5.2732 0.0000 0.0000 0.0000 5.2732" Properties=species:S:1:pos:R:3 comment="Zr3TaPb (GGA-PBE, relaxed)" magmom_total_mub_per_fu=0.8 de_polymorph_mev_per_atom=765.9 dft_energy_ry_per_atom=-0.49106 mass_density_g_cm3=7.50 formation_energy_ev_per_atom=1.56 pbc="T T T"
Pb 0.0000 0.0000 0.0000
Zr 0.0000 2.6366 0.0000
Zr 0.0000 0.0000 2.6366
Zr 2.6366 0.0000 0.0000
Ta 2.6366 2.6366 2.6366

[26]
5
Lattice="5.0881 0.0000 0.0000 0.0000 5.0881 0.0000 0.0000 0.0000 5.0881" Properties=species:S:1:pos:R:3 comment="ZrTa3Pb (GGA-PBE, relaxed)" magmom_total_mub_per_fu=0.0 de_polymorph_mev_per_atom=259.1 dft_energy_ry_per_atom=-0.55226 mass_density_g_cm3=10.60 formation_energy_ev_per_atom=2.05 pbc="T T T"
Pb 0.0000 0.0000 0.0000
Zr 2.5441 2.5441 2.5441
Ta 0.0000 2.5441 0.0000
Ta 0.0000 0.0000 2.5441
Ta 2.5441 0.0000 0.0000

[27]
4
Lattice="4.7678 0.0000 0.0000 0.0000 4.1524 0.0000 0.0000 0.0000 4.1524" Properties=species:S:1:pos:R:3 comment="ZrTa2Pb (GGA-PBE, relaxed)" magmom_total_mub_per_fu=0.0 dft_energy_ry_per_atom=-0.64736 mass_density_g_cm3=13.34 formation_energy_ev_per_atom=0.18 pbc="T T T"
Pb 2.3839 0.0000 2.0762
Ta 0.0000 0.0000 0.0000
Ta 0.0000 2.0762 2.0762
Zr 2.3839 2.0762 0.0000

[28]
4
Lattice="-1.5411 -2.5874 1.8691 2.8991 -0.2663 2.0218 -2.4923 4.4938 4.1658" Properties=species:S:1:pos:R:3 comment="ZrTa2Pb (GGA-PBE, relaxed)" magmom_total_mub_per_fu=0.0 dft_energy_ry_per_atom=-0.65508 mass_density_g_cm3=13.19 formation_energy_ev_per_atom=0.08 pbc="T T T"
Pb -1.2158 1.9896 5.1125
Ta -0.0550 0.0991 0.0919
Ta 0.0927 -0.3698 2.9254
Zr -1.2024 2.1680 2.0098

[29]
4
Lattice="3.6253 0.0000 0.0000 0.0000 3.6254 0.0000 0.0000 0.0000 6.2676" Properties=species:S:1:pos:R:3 comment="ZrTa2Pb (GGA-PBE, relaxed)" magmom_total_mub_per_fu=0.0 dft_energy_ry_per_atom=-0.64236 mass_density_g_cm3=13.31 formation_energy_ev_per_atom=0.25 pbc="T T T"
Pb 1.8126 1.8127 4.7007
Ta 0.0000 0.0000 0.0243
Ta 0.0000 0.0000 3.1095
Zr 1.8126 1.8127 1.5669

[30]
4
Lattice="-3.9834 4.3043 -0.1968 -3.7699 0.2835 4.4879 5.7302 0.0140 -1.2640" Properties=species:S:1:pos:R:3 comment="ZrTaPb2 (GGA-PBE, relaxed)" magmom_total_mub_per_fu=0.0 de_polymorph_mev_per_atom=120.3 dft_energy_ry_per_atom=-0.48828 mass_density_g_cm3=12.37 formation_energy_ev_per_atom=0.31 pbc="T T T"
Pb -0.0395 0.0234 0.0219
Pb -0.9687 3.2493 0.2891
Ta -3.8102 2.2546 2.1088
Zr -1.0812 1.3686 2.7528